(1)
A relaxed structure of ZrBr3, computed with GGA-PBEsol.

Output
SG: P6_3/mcm (193)
Uncorrected formation energy in eV per atom: -1.381

a = 6.812 Å, b = 6.812 Å, c = 6.143 Å
α = 90.00°, β = 90.00°, γ = 120.00°
Fractional coordinates of all 8 atoms:
Zr 0.000 0.000 0.000
Zr 0.000 0.000 0.500
Br 0.000 0.322 0.250
Br 0.000 0.678 0.750
Br 0.322 0.000 0.250
Br 0.322 0.322 0.750
Br 0.678 0.000 0.750
Br 0.678 0.678 0.250



(2)
A relaxed structure of La2MgCd, computed with GGA-PBEsol.

Output
Formation enthalpy at 0 K in kJ per mole of atoms: -9
SG: Pmm2 (25)

a = 3.407 Å, b = 4.630 Å, c = 6.866 Å
α = 90.00°, β = 90.00°, γ = 90.00°
Fractional coordinates of all 4 atoms:
La 0.000 0.000 0.000
La 0.500 0.500 0.235
Mg 0.000 0.000 0.513
Cd 0.500 0.500 0.731



(3)
A relaxed structure of SrMg2Cd, computed with GGA-PBEsol.

Output
Formation enthalpy at 0 K in kJ per mole of atoms: -11
SG: P4mm (99)

a = 3.703 Å, b = 3.703 Å, c = 7.917 Å
α = 90.00°, β = 90.00°, γ = 90.00°
Fractional coordinates of all 4 atoms:
Sr 0.000 0.000 0.000
Mg 0.000 0.000 0.469
Mg 0.500 0.500 0.687
Cd 0.500 0.500 0.278